This record from Alexandria describes an optimized crystal structure of KNb6Se8. The functional is PBE.

a b c (Å): 10.1836 10.1836 3.5252
angles (deg): 90.00 90.00 120.00
Space group P-3 (No. 147)
Symmetry-distinct sites (fractional):
1 K 0.0000 0.0000 0.0000 x1
2 Nb 0.1057 0.6180 0.7511 x6
3 Se 0.0599 0.3411 0.7473 x6
4 Se 0.3333 0.6667 0.2505 x2

Computed properties:
- ΔE_f (raw) (eV per atom) = -0.9129
- E_tot (eV/atom) = -6.87
- calculated volume (A^3/atom) = 21.11
- calculated density (kg/m3) = 6442